Record 1
Compound: Sm4Y7Ho
Source: the Alexandria database
Functional: GGA-PBE
Structure: relaxed

The calculation puts the spin magnetization at 0.04 μB per atom. As for the relative energy among the computed polymorphs: 0.196 eV per atom. As for the total energy: -5.444 eV/atom. For the calculated density, the calculation gives 5654 kg/m3.

It has space group C2/m (No. 12), with a = 12.151 Å, b = 5.906 Å, c = 12.855 Å, α = 90.00°, β = 117.85° and γ = 90.00°. The asymmetric unit holds Sm at (0.143, 0.000, 0.277), Sm at (0.219, 0.500, 0.165), Y at (0.000, 0.000, 0.500), Y at (0.070, 0.500, 0.808), Y at (0.132, 0.000, 0.994), Y at (0.211, 0.500, 0.423) and Ho at (0.000, 0.500, 0.500).

---

Record 2
Compound: Rb3Dy3RhO8
Source: the Alexandria database
Functional: GGA-PBE
Structure: relaxed

For the energy relative to the elements, uncorrected, the calculation gives -2.294 eV per atom. The calculation puts the spin magnetization at 0.07 μB per atom. As for the total energy: -6.543 eV/atom. For the calculated density, the calculation gives 6138 kg/m3.

It has space group R-3m (No. 166, hexagonal axes), with a = 6.8014 Å, b = 6.8014 Å, c = 19.7481 Å, α = 90.00°, β = 90.00° and γ = 120.00°. The asymmetric unit holds Rb at (0.0000, 0.5000, 0.0000), Dy at (0.0000, 0.5000, 0.5000), Rh at (0.0000, 0.0000, 0.5000), O at (0.0000, 0.0000, 0.2241) and O at (0.0250, 0.5125, 0.2218).